Compound: Tb3Pm2Tm6
Source: Alexandria
Functional: PBE-GGA
Structure: optimized geometry

Output
- distance to the lowest polymorph of the same formula (meV/atom) = 82
- crystal system = tetragonal
- Fermi-level density of states (states/eV/cell) = 17.389
- SG = I4/mmm (139)
- energy of formation (eV per atom) = 0.272

Lattice parameters (Å, degrees): 16.804 16.804 16.804 163.91 163.91 22.83
Positions (direct):
Tb1 0.000 0.000 0.000
Tb2 0.202 0.202 0.000
Tb3 0.798 0.798 0.000
Pm1 0.454 0.454 0.000
Pm2 0.546 0.546 0.000
Tm1 0.122 0.622 0.500
Tm2 0.306 0.306 0.000
Tm3 0.378 0.878 0.500
Tm4 0.622 0.122 0.500
Tm5 0.694 0.694 0.000
Tm6 0.878 0.378 0.500

Compound: Tb8PmTm3
Source: Alexandria
Functional: PBE-GGA
Structure: optimized geometry

Output
- crystal system = tetragonal
- Fermi-level density of states (states/eV/cell) = 18.891
- SG = I-42m (121)
- energy of formation (eV per atom) = 0.653

Lattice parameters (Å, degrees): 8.346 8.346 8.346 117.60 117.60 94.20
Positions (direct):
Tb1 0.119 0.119 0.747
Tb2 0.232 0.232 0.488
Tb3 0.256 0.768 0.000
Tb4 0.372 0.372 0.253
Tb5 0.628 0.881 0.000
Tb6 0.744 0.744 0.512
Tb7 0.768 0.256 0.000
Tb8 0.881 0.628 0.000
Pm1 0.500 0.500 0.000
Tm1 0.000 0.000 0.000
Tm2 0.250 0.750 0.500
Tm3 0.750 0.250 0.500

Compound: Tb12Pm5Tm2
Source: Alexandria
Functional: PBE-GGA
Structure: optimized geometry

Output
- distance to the lowest polymorph of the same formula (meV/atom) = 6
- crystal system = monoclinic
- Fermi-level density of states (states/eV/cell) = 24.620
- SG = C2/m (12)
- energy of formation (eV per atom) = 0.118

Lattice parameters (Å, degrees): 9.098 9.098 8.666 92.04 92.04 61.21
Positions (direct):
Tb1 0.056 0.056 0.338
Tb2 0.062 0.678 0.325
Tb3 0.173 0.533 0.761
Tb4 0.322 0.938 0.675
Tb5 0.428 0.428 0.124
Tb6 0.467 0.827 0.239
Tb7 0.533 0.173 0.761
Tb8 0.572 0.572 0.876
Tb9 0.678 0.062 0.325
Tb10 0.827 0.467 0.239
Tb11 0.938 0.322 0.675
Tb12 0.944 0.944 0.662
Pm1 0.207 0.207 0.024
Pm2 0.269 0.269 0.430
Pm3 0.500 0.500 0.500
Pm4 0.731 0.731 0.570
Pm5 0.793 0.793 0.976
Tm1 0.172 0.828 0.000
Tm2 0.828 0.172 0.000

Compound: Tb2Pm2Tm7
Source: Alexandria
Functional: PBE-GGA
Structure: optimized geometry

Output
- distance to the lowest polymorph of the same formula (meV/atom) = 0
- crystal system = monoclinic
- Fermi-level density of states (states/eV/cell) = 17.901
- SG = C2/m (12)
- energy of formation (eV per atom) = 0.156

Lattice parameters (Å, degrees): 7.993 7.993 6.030 106.43 106.43 91.81
Positions (direct):
Tb1 0.211 0.789 0.000
Tb2 0.789 0.211 0.000
Pm1 0.405 0.405 0.692
Pm2 0.595 0.595 0.308
Tm1 0.000 0.000 0.500
Tm2 0.064 0.589 0.321
Tm3 0.231 0.231 0.077
Tm4 0.411 0.936 0.679
Tm5 0.589 0.064 0.321
Tm6 0.769 0.769 0.923
Tm7 0.936 0.411 0.679

Compound: TbPm12Tm7
Source: Alexandria
Functional: PBE-GGA
Structure: optimized geometry

Output
- distance to the lowest polymorph of the same formula (meV/atom) = 23
- crystal system = trigonal
- Fermi-level density of states (states/eV/cell) = 28.847
- SG = R-3m (166)
- energy of formation (eV per atom) = 0.250

Lattice parameters (Å, degrees): 11.482 11.482 11.482 116.87 116.87 116.87
Positions (direct):
Tb1 0.000 0.000 0.000
Pm1 0.062 0.415 0.415
Pm2 0.087 0.500 0.913
Pm3 0.087 0.913 0.500
Pm4 0.415 0.062 0.415
Pm5 0.415 0.415 0.062
Pm6 0.500 0.087 0.913
Pm7 0.500 0.913 0.087
Pm8 0.585 0.585 0.938
Pm9 0.585 0.938 0.585
Pm10 0.913 0.087 0.500
Pm11 0.913 0.500 0.087
Pm12 0.938 0.585 0.585
Tm1 0.126 0.126 0.369
Tm2 0.126 0.369 0.126
Tm3 0.369 0.126 0.126
Tm4 0.500 0.500 0.500
Tm5 0.631 0.874 0.874
Tm6 0.874 0.631 0.874
Tm7 0.874 0.874 0.631

Compound: Tb4Pm2Tm
Source: Alexandria
Functional: PBE-GGA
Structure: optimized geometry

Output
- distance to the lowest polymorph of the same formula (meV/atom) = 24
- crystal system = orthorhombic
- Fermi-level density of states (states/eV/cell) = 13.158
- SG = Cmce (64)
- energy of formation (eV per atom) = 0.157

Lattice parameters (Å, degrees): 6.615 6.615 19.526 90.00 90.00 147.09
Positions (direct):
Tb1 0.108 0.892 0.823
Tb2 0.235 0.765 0.566
Tb3 0.265 0.735 0.066
Tb4 0.392 0.608 0.323
Tb5 0.608 0.392 0.677
Tb6 0.735 0.265 0.934
Tb7 0.765 0.235 0.434
Tb8 0.892 0.108 0.177
Pm1 0.108 0.892 0.331
Pm2 0.392 0.608 0.831
Pm3 0.608 0.392 0.169
Pm4 0.892 0.108 0.669
Tm1 0.000 0.000 0.000
Tm2 0.500 0.500 0.500

Compound: Tb8Pm3Tm
Source: Alexandria
Functional: PBE-GGA
Structure: optimized geometry

Output
- crystal system = orthorhombic
- Fermi-level density of states (states/eV/cell) = 15.408
- SG = Immm (71)
- energy of formation (eV per atom) = 0.300

Lattice parameters (Å, degrees): 8.674 8.674 8.674 136.03 98.86 97.25
Positions (direct):
Tb1 0.083 0.249 0.833
Tb2 0.243 0.254 0.497
Tb3 0.243 0.746 0.990
Tb4 0.416 0.249 0.167
Tb5 0.584 0.751 0.833
Tb6 0.757 0.254 0.010
Tb7 0.757 0.746 0.503
Tb8 0.917 0.751 0.167
Pm1 0.246 0.746 0.500
Pm2 0.500 0.500 0.000
Pm3 0.754 0.254 0.500
Tm1 0.000 0.000 0.000

Compound: Tb7Pm2Tm4
Source: Alexandria
Functional: PBE-GGA
Structure: optimized geometry

Output
- crystal system = trigonal
- Fermi-level density of states (states/eV/cell) = 17.680
- SG = P-31m (162)
- energy of formation (eV per atom) = 0.191

Lattice parameters (Å, degrees): 6.073 6.073 13.205 90.00 90.00 120.00
Positions (direct):
Tb1 0.000 0.000 0.000
Tb2 0.000 0.358 0.220
Tb3 0.000 0.642 0.780
Tb4 0.358 0.000 0.220
Tb5 0.358 0.358 0.780
Tb6 0.642 0.000 0.780
Tb7 0.642 0.642 0.220
Pm1 0.333 0.667 0.000
Pm2 0.667 0.333 0.000
Tm1 0.000 0.000 0.395
Tm2 0.000 0.000 0.605
Tm3 0.333 0.667 0.500
Tm4 0.667 0.333 0.500

Compound: Tb2PmTm2
Source: Alexandria
Functional: PBE-GGA
Structure: optimized geometry

Output
- distance to the lowest polymorph of the same formula (meV/atom) = 66
- crystal system = tetragonal
- Fermi-level density of states (states/eV/cell) = 9.512
- SG = P4/mbm (127)
- energy of formation (eV per atom) = 0.086

Lattice parameters (Å, degrees): 9.421 9.421 3.644 90.00 90.00 90.00
Positions (direct):
Tb1 0.174 0.326 0.000
Tb2 0.326 0.826 0.000
Tb3 0.674 0.174 0.000
Tb4 0.826 0.674 0.000
Pm1 0.000 0.000 0.500
Pm2 0.500 0.500 0.500
Tm1 0.123 0.623 0.500
Tm2 0.377 0.123 0.500
Tm3 0.623 0.877 0.500
Tm4 0.877 0.377 0.500

Compound: Tb6Pm2Tm
Source: Alexandria
Functional: PBE-GGA
Structure: optimized geometry

Output
- distance to the lowest polymorph of the same formula (meV/atom) = 0
- crystal system = monoclinic
- Fermi-level density of states (states/eV/cell) = 30.185
- SG = C2/c (15)
- energy of formation (eV per atom) = 0.110

Lattice parameters (Å, degrees): 10.339 10.339 6.146 91.79 91.79 117.70
Positions (direct):
Tb1 0.005 0.835 0.999
Tb2 0.082 0.583 0.254
Tb3 0.165 0.995 0.501
Tb4 0.333 0.507 0.998
Tb5 0.417 0.918 0.246
Tb6 0.493 0.667 0.502
Tb7 0.507 0.333 0.498
Tb8 0.583 0.082 0.754
Tb9 0.667 0.493 0.002
Tb10 0.835 0.005 0.499
Tb11 0.918 0.417 0.746
Tb12 0.995 0.165 0.001
Pm1 0.170 0.330 0.498
Pm2 0.330 0.170 0.998
Pm3 0.670 0.830 0.002
Pm4 0.830 0.670 0.502
Tm1 0.249 0.751 0.750
Tm2 0.751 0.249 0.250

Compound: Tb5Pm2Tm12
Source: Alexandria
Functional: PBE-GGA
Structure: optimized geometry

Output
- distance to the lowest polymorph of the same formula (meV/atom) = 58
- crystal system = monoclinic
- Fermi-level density of states (states/eV/cell) = 26.965
- SG = C2/m (12)
- energy of formation (eV per atom) = 0.131

Lattice parameters (Å, degrees): 9.046 9.046 8.453 91.38 91.38 60.95
Positions (direct):
Tb1 0.000 0.000 0.000
Tb2 0.232 0.232 0.076
Tb3 0.300 0.300 0.490
Tb4 0.700 0.700 0.510
Tb5 0.768 0.768 0.924
Pm1 0.317 0.683 0.500
Pm2 0.683 0.317 0.500
Tm1 0.026 0.666 0.255
Tm2 0.089 0.089 0.381
Tm3 0.182 0.563 0.845
Tm4 0.334 0.974 0.745
Tm5 0.437 0.818 0.155
Tm6 0.444 0.444 0.170
Tm7 0.556 0.556 0.830
Tm8 0.563 0.182 0.845
Tm9 0.666 0.026 0.255
Tm10 0.818 0.437 0.155
Tm11 0.911 0.911 0.619
Tm12 0.974 0.334 0.745

Compound: Tb6Pm3Tm
Source: Alexandria
Functional: PBE-GGA
Structure: optimized geometry

Output
- distance to the lowest polymorph of the same formula (meV/atom) = 0
- crystal system = orthorhombic
- Fermi-level density of states (states/eV/cell) = 26.900
- SG = Cmc2_1 (36)
- energy of formation (eV per atom) = 0.147

Lattice parameters (Å, degrees): 10.948 10.948 6.351 90.00 90.00 120.08
Positions (direct):
Tb1 0.040 0.960 0.500
Tb2 0.052 0.471 0.987
Tb3 0.274 0.726 0.269
Tb4 0.287 0.378 0.171
Tb5 0.378 0.287 0.671
Tb6 0.471 0.052 0.487
Tb7 0.529 0.948 0.987
Tb8 0.622 0.713 0.171
Tb9 0.713 0.622 0.671
Tb10 0.726 0.274 0.769
Tb11 0.948 0.529 0.487
Tb12 0.960 0.040 0.000
Pm1 0.060 0.287 0.583
Pm2 0.287 0.060 0.083
Pm3 0.388 0.612 0.693
Pm4 0.612 0.388 0.193
Pm5 0.713 0.940 0.583
Pm6 0.940 0.713 0.083
Tm1 0.197 0.803 0.748
Tm2 0.803 0.197 0.248

It is found that the spin magnetization values, taken in the order of the records, are 0.00 0.00 0.00 0.00 0.00 0.00 0.00 0.00 0.00 0.00 0.00 0.00 μB/cell.